1.
Computed, not measured: Ca2HgW after structural relaxation at the GGA-PBE level of DFT.

Lattice parameters (Å, degrees): 10.5136 3.1735 5.7776 90.00 101.05 90.00
Space group C2/m (No. 12)
Inequivalent atoms, fractional coordinates:
Ca (0.2491, 0.0000, 0.2405) (multiplicity 4)
Hg (0.0000, 0.0000, 0.5000) (multiplicity 2)
W (0.0000, 0.5000, 0.0000) (multiplicity 2)

Properties
Electronic total energy ... -0.263 Ry/atom
Formation energy from the elements ... 0.732 eV/atom
Fermi-level density of states ... 7.551 states/eV per cell

---

2.
Computed, not measured: CaHg2W after structural relaxation at the GGA-PBE level of DFT.

Lattice parameters (Å, degrees): 3.1368 5.1859 10.6044 90.00 90.00 90.00
Space group Imm2 (No. 44)
Inequivalent atoms, fractional coordinates:
Ca (0.0000, 0.0000, 0.0000) (multiplicity 2)
Hg (0.0000, 0.0000, 0.5148) (multiplicity 2)
Hg (0.0000, 0.5000, 0.7628) (multiplicity 2)
W (0.0000, 0.5000, 0.2423) (multiplicity 2)

Properties
Electronic total energy ... -0.244 Ry/atom
Excess energy over the best structure of this formula in the dataset ... 146 meV/atom
Formation energy from the elements ... 0.563 eV/atom
Fermi-level density of states ... 6.082 states/eV per cell

---

3.
Computed, not measured: Ca2HgW after structural relaxation at the GGA-PBE level of DFT.

Lattice parameters (Å, degrees): 11.7594 3.1194 5.6285 90.00 108.86 90.00
Space group Cm (No. 8)
Inequivalent atoms, fractional coordinates:
Ca (0.0000, 0.0000, 0.0000) (multiplicity 2)
Ca (0.2011, 0.0000, 0.6163) (multiplicity 2)
Hg (0.4467, 0.0000, 0.4722) (multiplicity 2)
W (0.2545, 0.5000, 0.1439) (multiplicity 2)

Properties
Electronic total energy ... -0.280 Ry/atom
Formation energy from the elements ... 0.509 eV/atom
Fermi-level density of states ... 7.798 states/eV per cell

---

4.
Computed, not measured: CaHg2W after structural relaxation at the GGA-PBE level of DFT.

Lattice parameters (Å, degrees): 3.0458 4.2360 6.6052 90.00 90.00 90.00
Space group Pmmm (No. 47)
Inequivalent atoms, fractional coordinates:
Ca (0.0000, 0.0000, 0.0000) (multiplicity 1)
Hg (0.5000, 0.5000, 0.2773) (multiplicity 2)
W (0.0000, 0.0000, 0.5000) (multiplicity 1)

Properties
Electronic total energy ... -0.253 Ry/atom
Excess energy over the best structure of this formula in the dataset ... 24 meV/atom
Formation energy from the elements ... 0.442 eV/atom
Fermi-level density of states ... 2.299 states/eV per cell

---

Which of these has the highest electronic total energy?
number 2

---

What is the formation energy from the elements in the third record?
0.509 eV/atom